This record from Alexandria via LeMat-Bulk describes Re4SiIr after structural relaxation. The functional is GGA-PBE.

The structure in CIF format:
```
data_Re4SiIr
_cell_length_a 7.255
_cell_length_b 7.255
_cell_length_c 7.255
_cell_angle_alpha 90.00
_cell_angle_beta 90.00
_cell_angle_gamma 90.00
_symmetry_space_group_name_H-M 'F -4 3 m'
_symmetry_Int_Tables_number 216
_symmetry_space_group_name_Hall 'F -4 2 3'
loop_
_atom_site_label
_atom_site_fract_x
_atom_site_fract_y
_atom_site_fract_z
Re1 0.125 0.125 0.125
Si1 0.250 0.250 0.750
Ir1 0.000 0.000 0.500
```

Calculated values
The energy relative to the elements, uncorrected comes out at 758 meV per atom. The value obtained for the total energy is -59.53 eV/f.u. The calculation puts the spin magnetization at 0.0 μB per cell. The value obtained for the density of states at the Fermi level is 7.2 states/eV/f.u.